# HfCdN3 (PBE-GGA, relaxed)
data_HfCdN3
_chemical_formula_sum 'Hf1 Cd1 N3'
_symmetry_space_group_name_H-M 'P m -3 m'
_symmetry_Int_Tables_number 221
_symmetry_space_group_name_Hall '-P 4 2 3'
_cell_length_a 4.1894
_cell_length_b 4.1894
_cell_length_c 4.1894
_cell_angle_alpha 90.00
_cell_angle_beta 90.00
_cell_angle_gamma 90.00
loop_
_atom_site_label
_atom_site_type_symbol
_atom_site_fract_x
_atom_site_fract_y
_atom_site_fract_z
Hf1 Hf 0.0000 0.0000 0.0000
Cd1 Cd 0.5000 0.5000 0.5000
N1 N 0.0000 0.0000 0.5000
# DFT total energy = -33.1 eV per cell